# Pr3PPb GGA-PBE optimized geometry
# Energy relative to the elements in eV/atom: -0.895
data_Pr3PPb
_chemical_formula_sum 'Pr12 P4 Pb4'
_symmetry_space_group_name_H-M 'P n m a'
_symmetry_Int_Tables_number 62
_cell_length_a 8.9514
_cell_length_b 4.3719
_cell_length_c 15.6871
_cell_angle_alpha 90.00
_cell_angle_beta 90.00
_cell_angle_gamma 90.00
loop_
_symmetry_equiv_pos_as_xyz
'x,y,z'
'-x,-y,-z'
'-x+1/2,-y,z+1/2'
'x+1/2,y,-z+1/2'
'x+1/2,-y+1/2,-z+1/2'
'-x+1/2,y+1/2,z+1/2'
'-x,y+1/2,-z'
'x,-y+1/2,z'
loop_
_atom_site_label
_atom_site_type_symbol
_atom_site_fract_x
_atom_site_fract_y
_atom_site_fract_z
Pr1 Pr 0.0220 0.2500 0.1067
Pr2 Pr 0.1565 0.2500 0.5158
Pr3 Pr 0.1849 0.7500 0.2868
P1 P 0.1725 0.2500 0.9446
Pb1 Pb 0.0947 0.7500 0.6787

---

# Pr6P2PbS3 GGA-PBE optimized geometry
# ΔE_f (raw) in meV per atom: -1600
data_Pr6P2PbS3
_chemical_formula_sum 'Pr12 P4 Pb2 S6'
_symmetry_space_group_name_H-M 'C 1 2/m 1'
_symmetry_Int_Tables_number 12
_cell_length_a 18.4390
_cell_length_b 4.2123
_cell_length_c 8.5148
_cell_angle_alpha 90.00
_cell_angle_beta 102.88
_cell_angle_gamma 90.00
loop_
_symmetry_equiv_pos_as_xyz
'x,y,z'
'-x,-y,-z'
'-x,y,-z'
'x,-y,z'
'x+1/2,y+1/2,z'
'-x+1/2,-y+1/2,-z'
'-x+1/2,y+1/2,-z'
'x+1/2,-y+1/2,z'
loop_
_atom_site_label
_atom_site_type_symbol
_atom_site_fract_x
_atom_site_fract_y
_atom_site_fract_z
Pr1 Pr 0.0026 0.0000 0.2702
Pr2 Pr 0.1695 0.5000 0.5787
Pr3 Pr 0.1737 0.5000 0.0954
P1 P 0.1682 0.0000 0.3357
Pb1 Pb 0.0000 0.5000 0.0000
S1 S 0.0000 0.5000 0.5000
S2 S 0.1654 0.0000 0.8318

---

Which formula does entry 1 have?
Pr3PPb